Record 1
Na2Sr8Mg | GGA-PBE | relaxed

SG: C2/m
Crystal system: monoclinic
Energy of formation: 0.016 eV per atom
DFT total energy: -0.117 Ry/atom
M_tot: 0.00 μB per cell

POSCAR file:
```
Na2Sr8Mg
1.0
-4.747 4.196 0.102
-3.124 -3.376 -6.512
-2.899 -8.227 6.765
Sr Mg Na
8 1 2
direct
0.332 0.082 0.663 Sr
0.968 0.237 0.937 Sr
0.032 0.763 0.063 Sr
0.784 0.378 0.568 Sr
0.668 0.918 0.337 Sr
0.589 0.415 0.178 Sr
0.411 0.585 0.822 Sr
0.216 0.622 0.432 Sr
0.500 0.000 0.000 Mg
0.151 0.167 0.302 Na
0.849 0.833 0.698 Na
```

=====

Record 2
BeC | GGA-PBE | relaxed

SG: Pm-3n
Crystal system: cubic
Energy of formation: 1.473 eV per atom
DFT total energy: -0.368 Ry/atom
M_tot: 0.00 μB per cell

POSCAR file:
```
BeC
1.0
5.056 0.000 0.000
0.000 5.056 0.000
0.000 0.000 5.056
C Be
6 6
direct
0.500 0.250 0.000 C
0.000 0.500 0.250 C
0.000 0.500 0.750 C
0.500 0.750 0.000 C
0.750 0.000 0.500 C
0.250 0.000 0.500 C
0.500 0.000 0.250 Be
0.000 0.750 0.500 Be
0.000 0.250 0.500 Be
0.750 0.500 0.000 Be
0.500 0.000 0.750 Be
0.250 0.500 0.000 Be
```

=====

Record 3
InIr2Se | GGA-PBE | relaxed

Formation energy from raw total energies: 23 kJ/mol of atoms
SG: Pmmm
Crystal system: orthorhombic
DFT total energy: -0.422 Ry/atom
M_tot: 0.00 μB per cell

POSCAR file:
```
InIr2Se
1.0
4.021 0.000 0.000
0.000 3.036 -0.001
0.000 0.002 5.749
In Se Ir
1 1 2
direct
0.500 0.750 0.750 In
0.500 0.250 0.250 Se
0.000 0.250 0.992 Ir
0.000 0.250 0.508 Ir
```

=====

Record 4
ScInHg3 | GGA-PBE | relaxed

SG: Pmmn
Crystal system: orthorhombic
Energy of formation: -0.119 eV per atom
DFT total energy: -0.155 Ry/atom
M_tot: 0.00 μB per cell

POSCAR file:
```
ScInHg3
1.0
-0.191 -1.513 -3.015
-3.343 -4.682 2.561
-9.727 5.714 -2.252
Hg Sc In
6 2 2
direct
0.000 0.246 0.284 Hg
0.500 0.254 0.716 Hg
0.500 0.500 0.094 Hg
0.000 0.000 0.906 Hg
0.500 0.746 0.716 Hg
0.000 0.754 0.284 Hg
0.500 0.000 0.112 Sc
0.000 0.500 0.888 Sc
0.500 0.500 0.478 In
0.000 0.000 0.522 In
```

=====

Record 5
Na3Zr2PaTe6 | GGA-PBE | relaxed

Formation energy from raw total energies: -87 kJ/mol of atoms
SG: C2/m
Crystal system: monoclinic
DFT total energy: -0.369 Ry/atom
M_tot: 1.61 μB per cell

POSCAR file:
```
Na3Zr2PaTe6
1.0
7.157 -0.006 -0.001
-3.582 6.197 -0.001
-1.193 -2.066 7.935
Zr Te Na Pa
2 6 3 1
direct
0.668 0.332 0.000 Zr
0.332 0.668 0.000 Zr
0.580 0.923 0.769 Te
0.923 0.580 0.769 Te
0.267 0.267 0.770 Te
0.420 0.077 0.231 Te
0.077 0.420 0.231 Te
0.733 0.733 0.230 Te
0.837 0.163 0.500 Na
0.163 0.837 0.500 Na
0.500 0.500 0.500 Na
0.000 0.000 0.000 Pa
```

=====

Record 6
PmSnHgPt | GGA-PBE | relaxed

SG: F-43m
Crystal system: cubic
Energy of formation: -0.615 eV per atom
DFT total energy: -0.323 Ry/atom
M_tot: 0.00 μB per cell

POSCAR file:
```
PmSnHgPt
1.0
-3.409 -1.081 3.573
-0.357 -4.706 1.812
1.515 -1.015 4.715
Pm Pt Hg Sn
1 1 1 1
direct
0.750 0.750 0.750 Pm
0.000 0.000 0.000 Pt
0.500 0.500 0.500 Hg
0.250 0.250 0.250 Sn
```

=====

Record 7
RbCuBF6 | GGA-PBE | relaxed

Formation energy from raw total energies: -232 kJ/mol of atoms
SG: P1
Crystal system: triclinic
DFT total energy: -0.364 Ry/atom
M_tot: 1.01 μB per cell

POSCAR file:
```
RbCuBF6
1.0
5.327 0.039 0.118
2.745 4.638 -0.188
0.084 -0.266 5.909
F Rb B Cu
6 1 1 1
direct
0.519 0.877 0.776 F
0.331 0.618 0.375 F
0.876 0.526 0.218 F
0.127 0.469 0.645 F
0.460 0.132 0.352 F
0.624 0.318 0.632 F
0.984 0.982 0.003 Rb
0.384 0.381 0.501 B
0.695 0.696 0.497 Cu
```

=====

Record 8
Cs2KSrCd | GGA-PBE | relaxed

SG: P4/mmm
Crystal system: tetragonal
Energy of formation: 0.070 eV per atom
DFT total energy: -0.074 Ry/atom
M_tot: 0.00 μB per cell

POSCAR file:
```
Cs2KSrCd
1.0
-7.103 -2.147 0.797
2.261 -6.988 1.324
0.332 1.364 6.633
Cs K Sr Cd
2 1 1 1
direct
0.000 0.500 0.000 Cs
0.500 0.000 0.000 Cs
0.500 0.500 0.500 K
0.000 0.000 0.500 Sr
0.000 0.000 0.000 Cd
```

=====

Record 9
PrMnWC3 | GGA-PBE | relaxed

SG: P2_1/m
Crystal system: monoclinic
Energy of formation: 0.130 eV per atom
DFT total energy: -0.659 Ry/atom
M_tot: 0.00 μB per cell

POSCAR file:
```
PrMnWC3
1.0
3.311 0.000 0.000
0.000 6.949 0.252
0.000 -2.419 7.122
C Mn Pr W
6 2 2 2
direct
0.250 0.127 0.858 C
0.250 0.826 0.463 C
0.750 0.174 0.537 C
0.750 0.457 0.157 C
0.250 0.543 0.843 C
0.750 0.873 0.142 C
0.250 0.103 0.608 Mn
0.750 0.897 0.392 Mn
0.750 0.806 0.790 Pr
0.250 0.194 0.210 Pr
0.250 0.652 0.132 W
0.750 0.348 0.868 W
```

=====

Record 10
BeNbInGe2 | GGA-PBE | relaxed

SG: P4/mmm
Crystal system: tetragonal
Energy of formation: 1.742 eV per atom
DFT total energy: -0.251 Ry/atom
M_tot: 2.09 μB per cell

POSCAR file:
```
BeNbInGe2
1.0
-2.242 -4.515 -0.377
3.577 -1.460 -3.786
3.059 -1.818 3.591
Be Ge In Nb
1 2 1 1
direct
0.500 0.500 0.500 Be
0.000 0.000 0.500 Ge
0.500 0.000 0.000 Ge
0.000 0.000 0.000 In
0.000 0.500 0.000 Nb
```

=====

Record 11
Pr5InGe2 | GGA-PBE | relaxed

SG: I4/mcm
Crystal system: tetragonal
Energy of formation: -0.593 eV per atom
DFT total energy: -0.373 Ry/atom
M_tot: 0.00 μB per cell

POSCAR file:
```
Pr5InGe2
1.0
-3.638 7.205 -0.656
-7.080 -3.394 1.983
6.705 -0.581 6.412
Pr Ge In
10 4 2
direct
0.311 0.811 0.281 Pr
0.000 0.000 0.000 Pr
0.530 0.689 0.719 Pr
0.030 0.530 0.719 Pr
0.811 0.970 0.281 Pr
0.470 0.311 0.281 Pr
0.689 0.189 0.719 Pr
0.500 0.500 0.000 Pr
0.970 0.470 0.281 Pr
0.189 0.030 0.719 Pr
0.629 0.129 0.000 Ge
0.129 0.371 0.000 Ge
0.871 0.629 0.000 Ge
0.371 0.871 0.000 Ge
0.750 0.750 0.500 In
0.250 0.250 0.500 In
```

=====

Record 12
TbMgPa2N5 | GGA-PBE | relaxed

Formation energy from raw total energies: -131 kJ/mol of atoms
SG: Cmc2_1
Crystal system: orthorhombic
DFT total energy: -0.646 Ry/atom
M_tot: 0.00 μB per cell

POSCAR file:
```
TbMgPa2N5
1.0
3.526 0.000 0.000
-1.763 6.819 0.000
0.000 0.000 11.164
N Mg Pa Tb
10 2 4 2
direct
0.294 0.588 0.330 N
0.370 0.739 0.081 N
0.060 0.120 0.060 N
0.714 0.427 0.146 N
0.286 0.573 0.646 N
0.535 0.070 0.299 N
0.630 0.261 0.581 N
0.465 0.930 0.799 N
0.706 0.412 0.830 N
0.940 0.880 0.560 N
0.504 0.008 0.986 Mg
0.496 0.992 0.486 Mg
0.124 0.248 0.239 Pa
0.867 0.733 0.199 Pa
0.876 0.752 0.739 Pa
0.133 0.267 0.699 Pa
0.780 0.560 0.483 Tb
0.220 0.440 0.983 Tb
```